Entry from Alexandria via LeMat-Bulk: a PBEsol-optimized structure of AgTeP (meta-GGA SCAN).

Results
Polymorph energy (0 for the lowest one) ... 0 meV/atom
Symmetry ... Imm2
Uncorrected energy ... -26.10 eV per atom

a b c (Å): 3.0407 4.0738 11.5940
angles (deg): 90.00 90.00 90.00
Element x y z (fractional)
Ag: 0.0000 0.0000 0.0000
Ag: 0.5000 0.5000 0.5000
Te: 0.0000 0.0000 0.2591
Te: 0.5000 0.5000 0.7591
P: 0.0000 0.0000 0.4753
P: 0.5000 0.5000 0.9753

***

Entry from Alexandria via LeMat-Bulk: a PBEsol-optimized structure of AgTe2P (meta-GGA SCAN).

Results
Symmetry ... Pmmm
Uncorrected energy ... -28.60 eV per atom

a b c (Å): 3.8075 3.9259 6.5522
angles (deg): 90.00 90.00 90.00
Element x y z (fractional)
Ag: 0.0000 0.0000 0.0000
Te: 0.5000 0.0000 0.5000
Te: 0.5000 0.5000 0.0000
P: 0.0000 0.5000 0.5000

***

Entry from Alexandria via LeMat-Bulk: a PBEsol-optimized structure of AgTe2P (meta-GGA SCAN).

Results
Symmetry ... Immm
Uncorrected energy ... -28.62 eV per atom

a b c (Å): 3.8884 6.2594 7.8192
angles (deg): 90.00 90.00 90.00
Element x y z (fractional)
Ag: 0.0000 0.0000 0.0000
Ag: 0.5000 0.5000 0.5000
Te: 0.0000 0.5000 0.2338
Te: 0.0000 0.5000 0.7662
Te: 0.5000 0.0000 0.2662
Te: 0.5000 0.0000 0.7338
P: 0.0000 0.0000 0.5000
P: 0.5000 0.5000 0.0000

***

Entry from Alexandria via LeMat-Bulk: a PBEsol-optimized structure of AgTeP (meta-GGA SCAN).

Results
Polymorph energy (0 for the lowest one) ... 296 meV/atom
Symmetry ... I4mm
Uncorrected energy ... -25.80 eV per atom

a b c (Å): 3.0341 3.0341 13.6259
angles (deg): 90.00 90.00 90.00
Element x y z (fractional)
Ag: 0.0000 0.0000 0.0000
Ag: 0.5000 0.5000 0.5000
Te: 0.0000 0.0000 0.6952
Te: 0.5000 0.5000 0.1952
P: 0.0000 0.0000 0.3917
P: 0.5000 0.5000 0.8917

***

Entry from Alexandria via LeMat-Bulk: a PBEsol-optimized structure of AgTeP2 (meta-GGA SCAN).

Results
Symmetry ... F-43m
Uncorrected energy ... -21.60 eV per atom

a b c (Å): 6.6521 6.6521 6.6521
angles (deg): 90.00 90.00 90.00
Element x y z (fractional)
Ag: 0.0000 0.0000 0.0000
Ag: 0.0000 0.5000 0.5000
Ag: 0.5000 0.0000 0.5000
Ag: 0.5000 0.5000 0.0000
Te: 0.2500 0.2500 0.7500
Te: 0.2500 0.7500 0.2500
Te: 0.7500 0.2500 0.2500
Te: 0.7500 0.7500 0.7500
P: 0.0000 0.0000 0.5000
P: 0.0000 0.5000 0.0000
P: 0.2500 0.2500 0.2500
P: 0.2500 0.7500 0.7500
P: 0.5000 0.0000 0.0000
P: 0.5000 0.5000 0.5000
P: 0.7500 0.2500 0.7500
P: 0.7500 0.7500 0.2500

***

Entry from Alexandria via LeMat-Bulk: a PBEsol-optimized structure of TlAg4P (meta-GGA SCAN).

Results
Symmetry ... F-43m
E_form ... 0.33 eV per atom
Uncorrected energy ... -34.37 eV per atom

a b c (Å): 5.4271 5.4271 5.4271
angles (deg): 60.00 60.00 60.00
Element x y z (fractional)
Tl: 0.0000 0.0000 0.0000
Ag: 0.1257 0.6248 0.6248
Ag: 0.6248 0.1257 0.6248
Ag: 0.6248 0.6248 0.1257
Ag: 0.6248 0.6248 0.6248
P: 0.2500 0.2500 0.2500

***

Entry from Alexandria via LeMat-Bulk: a PBEsol-optimized structure of TlAgP3 (meta-GGA SCAN).

Results
Symmetry ... Pm-3m
E_form ... 1.67 eV per atom
Uncorrected energy ... -25.32 eV per atom

a b c (Å): 5.0388 5.0388 5.0388
angles (deg): 90.00 90.00 90.00
Element x y z (fractional)
Tl: 0.0000 0.0000 0.0000
Ag: 0.5000 0.5000 0.5000
P: 0.0000 0.0000 0.5000
P: 0.0000 0.5000 0.0000
P: 0.5000 0.0000 0.0000

***

Entry from Alexandria via LeMat-Bulk: a PBEsol-optimized structure of TlAg2P (meta-GGA SCAN).

Results
Polymorph energy (0 for the lowest one) ... 34 meV/atom
Symmetry ... I-4m2
E_form ... 0.35 eV per atom
Uncorrected energy ... -36.02 eV per atom

a b c (Å): 4.1327 4.1327 8.6564
angles (deg): 90.00 90.00 90.00
Element x y z (fractional)
Tl: 0.0000 0.0000 0.0000
Tl: 0.5000 0.5000 0.5000
Ag: 0.0000 0.0000 0.5000
Ag: 0.0000 0.5000 0.2500
Ag: 0.5000 0.0000 0.7500
Ag: 0.5000 0.5000 0.0000
P: 0.0000 0.5000 0.7500
P: 0.5000 0.0000 0.2500